Entry from Alexandria via LeMat-Bulk: a relaxed Pm2Cu3Pd crystal (PBE-GGA).

It has space group Fmmm (No. 69), with a = 7.458 Å, b = 8.643 Å, c = 15.019 Å, α = 90.00°, β = 90.00° and γ = 90.00°. The asymmetric unit holds Pm at (0.249, 0.000, 0.000), Pm at (0.250, 0.250, 0.250), Cu at (0.000, 0.000, 0.337), Cu at (0.000, 0.244, 0.419) and Pd at (0.000, 0.000, 0.167).

The calculation puts the volume at 968 Å³/cell. The calculation puts the total magnetization at 0.000 μB/atom. Its total energy is -234.3 eV/cell. The energy of formation is -384 meV per atom. The density of states at the Fermi level is 0.84 states/eV/atom.

Entry from Alexandria via LeMat-Bulk: a relaxed Pm2CuPd2 crystal (PBE-GGA).

It has space group C2/m (No. 12), with a = 10.709 Å, b = 4.194 Å, c = 10.928 Å, α = 90.00°, β = 116.57° and γ = 90.00°. The asymmetric unit holds Pm at (0.017, 0.000, 0.343), Pm at (0.187, 0.000, 0.112), Cu at (0.213, 0.500, 0.334), Pd at (0.033, 0.500, 0.887) and Pd at (0.145, 0.500, 0.564).

The calculation puts the volume at 439 Å³/cell. The calculation puts the total magnetization at 0.000 μB/atom. Its total energy is -108.7 eV/cell. The energy of formation is -639 meV per atom. The density of states at the Fermi level is 0.59 states/eV/atom.

Entry from Alexandria via LeMat-Bulk: a relaxed PmCu2Pd5 crystal (PBE-GGA).

It has space group Immm (No. 71), with a = 3.864 Å, b = 7.422 Å, c = 9.564 Å, α = 90.00°, β = 90.00° and γ = 90.00°. The asymmetric unit holds Pm at (0.000, 0.000, 0.000), Cu at (0.000, 0.500, 0.261), Pd at (0.000, 0.189, 0.352) and Pd at (0.000, 0.500, 0.000).

The calculation puts the volume at 274 Å³/cell. The calculation puts the total magnetization at 0.000 μB/atom. Its total energy is -82.3 eV/cell. The energy of formation is -281 meV per atom. The density of states at the Fermi level is 0.63 states/eV/atom.

Entry from Alexandria via LeMat-Bulk: a relaxed PmCuPd crystal (PBE-GGA).

It has space group C2/m (No. 12), with a = 10.371 Å, b = 4.411 Å, c = 7.076 Å, α = 90.00°, β = 131.90° and γ = 90.00°. The asymmetric unit holds Pm at (0.042, 0.000, 0.293), Cu at (0.155, 0.500, 0.103) and Pd at (0.173, 0.500, 0.721).

The calculation puts the volume at 241 Å³/cell. The calculation puts the total magnetization at 0.000 μB/atom. The offset from the most stable computed form comes out at 1 meV per atom. Its total energy is -62.7 eV/cell. The energy of formation is -549 meV per atom. The density of states at the Fermi level is 0.49 states/eV/atom.

Entry from Alexandria via LeMat-Bulk: a relaxed PmCu5Pd7 crystal (PBE-GGA).

It has space group Imm2 (No. 44), with a = 5.040 Å, b = 8.797 Å, c = 8.939 Å, α = 90.00°, β = 90.00° and γ = 90.00°. The asymmetric unit holds Pm at (0.000, 0.000, 0.000), Cu at (0.000, 0.500, 0.265), Cu at (0.249, 0.254, 0.246), Pd at (0.000, 0.000, 0.346), Pd at (0.000, 0.000, 0.651), Pd at (0.000, 0.293, 0.493), Pd at (0.000, 0.345, 0.999) and Pd at (0.000, 0.500, 0.722).

The calculation puts the volume at 396 Å³/cell. The calculation puts the total magnetization at 0.000 μB/atom. Its total energy is -131.6 eV/cell. The energy of formation is -324 meV per atom. The density of states at the Fermi level is 0.38 states/eV/atom.

Entry from Alexandria via LeMat-Bulk: a relaxed Pm3Cu2Pd5 crystal (PBE-GGA).

It has space group P4/mbm (No. 127), with a = 9.843 Å, b = 9.843 Å, c = 3.989 Å, α = 90.00°, β = 90.00° and γ = 90.00°. The asymmetric unit holds Pm at (0.000, 0.000, 0.000), Pm at (0.175, 0.325, 0.000), Cu at (0.118, 0.618, 0.000), Pd at (0.000, 0.500, 0.500) and Pd at (0.071, 0.784, 0.500).

The calculation puts the volume at 387 Å³/cell. The calculation puts the total magnetization at 0.000 μB/atom. Its total energy is -109.8 eV/cell. The energy of formation is -649 meV per atom. The density of states at the Fermi level is 0.52 states/eV/atom.

Entry from Alexandria via LeMat-Bulk: a relaxed PmCu2Pd6 crystal (PBE-GGA).

It has space group P-31m (No. 162), with a = 4.7184 Å, b = 4.7184 Å, c = 8.9159 Å, α = 90.00°, β = 90.00° and γ = 120.00°. The asymmetric unit holds Pm at (0.0000, 0.0000, 0.0000), Cu at (0.3333, 0.6667, 0.5000) and Pd at (0.0000, 0.3378, 0.7355).

The calculation puts the volume at 172 Å³/cell. The calculation puts the total magnetization at 0.000 μB/atom. Its total energy is -45.2 eV/cell. The energy of formation is -119 meV per atom. The density of states at the Fermi level is 0.41 states/eV/atom.

Entry from Alexandria via LeMat-Bulk: a relaxed PmCuPd crystal (PBE-GGA).

It has space group F-43m (No. 216), with a = 6.522 Å, b = 6.522 Å, c = 6.522 Å, α = 90.00°, β = 90.00° and γ = 90.00°. The asymmetric unit holds Pm at (0.000, 0.000, 0.000), Cu at (0.000, 0.000, 0.500) and Pd at (0.250, 0.250, 0.750).

The calculation puts the volume at 277 Å³/cell. The calculation puts the total magnetization at 0.000 μB/atom. The offset from the most stable computed form comes out at 217 meV per atom. Its total energy is -60.2 eV/cell. The energy of formation is -333 meV per atom. The density of states at the Fermi level is 0.58 states/eV/atom.

Entry from Alexandria via LeMat-Bulk: a relaxed PmCu2Pd crystal (PBE-GGA).

It has space group P4/mmm (No. 123), with a = 4.298 Å, b = 4.298 Å, c = 3.879 Å, α = 90.00°, β = 90.00° and γ = 90.00°. The asymmetric unit holds Pm at (0.000, 0.000, 0.000), Cu at (0.000, 0.500, 0.500) and Pd at (0.500, 0.500, 0.000).

The calculation puts the volume at 72 Å³/cell. The calculation puts the total magnetization at 0.000 μB/atom. The offset from the most stable computed form comes out at 269 meV per atom. Its total energy is -18.7 eV/cell. The energy of formation is -135 meV per atom. The density of states at the Fermi level is 0.71 states/eV/atom.

Entry from Alexandria via LeMat-Bulk: a relaxed Pm4Cu2Pd crystal (PBE-GGA).

It has space group R-3m (No. 166, hexagonal axes), with a = 5.0188 Å, b = 5.0188 Å, c = 24.7041 Å, α = 90.00°, β = 90.00° and γ = 120.00°. The asymmetric unit holds Pm at (0.0000, 0.0000, 0.1240), Pm at (0.0000, 0.0000, 0.3739), Cu at (0.0000, 0.0000, 0.2531) and Pd at (0.0000, 0.0000, 0.5000).

The calculation puts the volume at 539 Å³/cell. The calculation puts the total magnetization at 0.000 μB/atom. Its total energy is -101.8 eV/cell. The energy of formation is -221 meV per atom. The density of states at the Fermi level is 1.04 states/eV/atom.

Entry from Alexandria via LeMat-Bulk: a relaxed Pm2Cu3Pd4 crystal (PBE-GGA).

It has space group Fmmm (No. 69), with a = 5.146 Å, b = 9.136 Å, c = 13.450 Å, α = 90.00°, β = 90.00° and γ = 90.00°. The asymmetric unit holds Pm at (0.000, 0.000, 0.142), Cu at (0.000, 0.000, 0.500), Cu at (0.250, 0.250, 0.000) and Pd at (0.000, 0.165, 0.336).

The calculation puts the volume at 632 Å³/cell. The calculation puts the total magnetization at 0.000 μB/atom. Its total energy is -190.0 eV/cell. The energy of formation is -549 meV per atom. The density of states at the Fermi level is 0.42 states/eV/atom.

Entry from Alexandria via LeMat-Bulk: a relaxed PmCuPd crystal (PBE-GGA).

It has space group P4_12_12 (No. 92), with a = 5.732 Å, b = 5.732 Å, c = 8.852 Å, α = 90.00°, β = 90.00° and γ = 90.00°. The asymmetric unit holds Pm at (0.225, 0.225, 0.000), Cu at (0.127, 0.127, 0.500) and Pd at (0.073, 0.927, 0.750).

The calculation puts the volume at 291 Å³/cell. The calculation puts the total magnetization at 0.000 μB/atom. The offset from the most stable computed form comes out at 567 meV per atom. Its total energy is -56.0 eV/cell. The energy of formation is 17 meV per atom. The density of states at the Fermi level is 0.28 states/eV/atom.